Entry 1:
Entry from Alexandria: a relaxed structure of Tb7Te2C2 (GGA-PBE).

Cell and atoms, written as extended XYZ:
```
11
Lattice="-6.049 1.735 4.387 3.423 -3.349 5.043 2.146 6.583 -0.646" Properties=species:S:1:pos:R:3 pbc="T T T"
Tb 3.085 0.824 5.257
Tb -3.072 0.302 5.727
Tb -3.565 4.145 3.527
Tb 2.591 4.667 3.056
Tb 0.000 0.000 0.000
Tb -1.650 3.310 6.149
Tb 1.169 1.659 2.635
Te -0.475 4.314 3.344
Te -0.005 0.656 5.439
C -3.735 2.453 5.121
C 3.255 2.516 3.663
```

Output
- Volume: 340.7 Å³ per cell
- Raw total energy: -61.19 eV for the cell shown
- Size of the total moment: 0.00 μB per cell

---

Entry 2:
Entry from Alexandria: a relaxed structure of La4Pr2ErSc (GGA-PBE).

Cell and atoms, written as extended XYZ:
```
8
Lattice="-3.387 -3.357 2.057 1.928 -3.759 -2.962 8.652 -6.070 4.339" Properties=species:S:1:pos:R:3 pbc="T T T"
La 7.909 -7.364 1.003
La -0.715 -5.824 2.430
La 1.939 -6.025 -0.084
La 5.254 -7.162 3.518
Pr 8.652 -6.070 4.339
Pr 2.633 -4.714 3.198
Er -0.729 -3.558 -0.452
Sc 5.290 -4.915 0.688
```

Output
- Volume: 273.1 Å³ per cell
- Size of the total moment: 0.00 μB per cell
- Energy of formation from the pure elements: 29 meV/atom